Density functional theory data (GGA-PBE) for crystalline Ta2NbN at its relaxed geometry.

Output
- E_tot: -10.658 eV per atom
- SG: R-3m
- DOS(E_F): 0.426 states/eV/atom
- Raw formation energy: -0.13 eV per atom

a = 8.4062 Å, b = 8.4062 Å, c = 8.4062 Å
α = 20.23°, β = 20.23°, γ = 20.23°
Closest atoms and distances in Å follow each position.
Fractional coordinates of all 4 atoms:
Ta 0.1100 0.1100 0.1100  3 N 2.21
Ta 0.8900 0.8900 0.8900  3 N 2.21
Nb 0.0000 0.0000 0.0000  2 Ta 2.72, 6 Nb 2.95
N 0.5000 0.5000 0.5000  6 Ta 2.21

---

Density functional theory data (GGA-PBE) for crystalline AlSiAs2 at its relaxed geometry.

Output
- E_tot: -4.300 eV per atom
- SG: R3m
- DOS(E_F): 0.398 states/eV/atom
- E above lowest polymorph: 1.46 eV/f.u.
- Raw formation energy: 0.32 eV per atom

a = 9.4542 Å, b = 9.4542 Å, c = 9.4542 Å
α = 18.22°, β = 18.22°, γ = 18.22°
Closest atoms and distances in Å follow each position.
Fractional coordinates of all 4 atoms:
Al 0.0000 0.0000 0.0000  3 Si 2.66, 3 As 2.71
Si 0.2606 0.2606 0.2606  3 Al 2.66, 3 As 2.70
As 0.5198 0.5198 0.5198  3 Si 2.70, 6 As 2.99
As 0.7417 0.7417 0.7417  3 Al 2.71, 6 As 2.99

---

Density functional theory data (GGA-PBE) for crystalline Sr2Tl3Pd at its relaxed geometry.

Output
- E_tot: -3.039 eV per atom
- SG: Cm
- DOS(E_F): 0.426 states/eV/atom
- Formation enthalpy at 0 K: -430 meV/atom
- E above lowest polymorph: 0.00 eV/f.u.

a = 6.2857 Å, b = 6.2857 Å, c = 7.9549 Å
α = 125.80°, β = 125.80°, γ = 46.79°
Closest atoms and distances in Å follow each position.
Fractional coordinates of all 6 atoms:
Sr 0.0000 0.0000 0.0000  9 Tl 3.40-3.70, 2 Pd 3.65
Sr 0.1090 0.1090 0.6021  3 Pd 3.29-3.52, 7 Tl 3.49-3.64
Tl 0.3876 0.3876 0.2160  1 Pd 2.94, 3 Tl 3.09-3.24
Tl 0.6891 0.6891 0.9750  1 Pd 2.83, 2 Tl 3.09
Tl 0.7366 0.7366 0.4191  2 Pd 2.84
Pd 0.3866 0.3866 0.5848  4 Tl 2.83-2.94

---

Density functional theory data (GGA-PBE) for crystalline BaTlTeN2 at its relaxed geometry.

Output
- E_tot: -3.945 eV per atom
- SG: P4/mmm
- DOS(E_F): 0.147 states/eV/atom
- E above lowest polymorph: 0.00 eV/f.u.
- Raw formation energy: 0.87 eV per atom

a = 4.8097 Å, b = 4.8097 Å, c = 6.0138 Å
α = 90.00°, β = 90.00°, γ = 90.00°
Closest atoms and distances in Å follow each position.
Fractional coordinates of all 5 atoms:
Ba 0.0000 0.0000 0.0000  4 Te 3.40
Tl 0.5000 0.5000 0.5000  4 N 2.40
Te 0.5000 0.5000 0.0000  2 Tl 3.01
N 0.0000 0.5000 0.5000  2 Tl 2.40
N 0.5000 0.0000 0.5000  2 Tl 2.40